Below is a geometry-optimized Pm3Hg2 structure, with properties calculated at the PBE level.

Cell: 8.7712 8.7712 3.8607 Å, 90.00 90.00 90.00°
Space group P4/mbm (No. 127)
Symmetry-distinct sites (fractional):
Pm 0.0000 0.0000 0.0000
Pm 0.1649 0.3351 0.5000
Hg 0.1327 0.6327 0.0000

The total moment comes out at 0.000 μB/atom. The calculation puts the mass density at 9.3 g cm⁻³. The value obtained for the density of states at the Fermi level is 10.4 states/eV/cell. The calculation puts the energy above the most stable polymorph in this dataset at 9 meV per atom. The value obtained for the energy of formation is -0.364 eV per atom.

***

Below is a geometry-optimized PmHg7 structure, with properties calculated at the PBE level.

Cell: 4.6164 4.6164 19.2185 Å, 90.00 90.00 90.00°
Space group I4/mmm (No. 139)
Symmetry-distinct sites (fractional):
Pm 0.0000 0.0000 0.0000
Hg 0.0000 0.0000 0.2534
Hg 0.0000 0.0000 0.5000
Hg 0.0000 0.5000 0.1245

The total moment comes out at 0.000 μB/atom. The calculation puts the mass density at 12.6 g cm⁻³. The value obtained for the density of states at the Fermi level is 7.2 states/eV/cell. The calculation puts the energy above the most stable polymorph in this dataset at 0 meV per atom. The value obtained for the energy of formation is -0.170 eV per atom.

***

Below is a geometry-optimized Pm3Hg2 structure, with properties calculated at the PBE level.

Cell: 3.7783 3.7783 20.3887 Å, 90.00 90.00 90.00°
Space group P4/mmm (No. 123)
Symmetry-distinct sites (fractional):
Pm 0.0000 0.0000 0.0000
Pm 0.0000 0.0000 0.1879
Pm 0.0000 0.0000 0.3776
Pm 0.5000 0.5000 0.5000
Hg 0.5000 0.5000 0.0946
Hg 0.5000 0.5000 0.2853

The total moment comes out at 0.135 μB/atom. The calculation puts the mass density at 9.5 g cm⁻³. The value obtained for the density of states at the Fermi level is 11.8 states/eV/cell. The calculation puts the energy above the most stable polymorph in this dataset at 0 meV per atom. The value obtained for the energy of formation is -0.373 eV per atom.

***

Below is a geometry-optimized Pm3PrHg4 structure, with properties calculated at the PBE level.

Cell: 5.3879 5.3879 7.7124 Å, 90.00 90.00 90.00°
Space group P4/mmm (No. 123)
Symmetry-distinct sites (fractional):
Pm 0.0000 0.0000 0.0000
Pm 0.0000 0.0000 0.5000
Pm 0.5000 0.5000 0.0000
Pr 0.5000 0.5000 0.5000
Hg 0.0000 0.5000 0.2464

The total moment comes out at 0.229 μB/atom. The calculation puts the mass density at 10.2 g cm⁻³. The value obtained for the density of states at the Fermi level is 8.7 states/eV/cell. The value obtained for the energy of formation is -0.475 eV per atom.

***

Below is a geometry-optimized Pm8PrHg6 structure, with properties calculated at the PBE level.

Cell: 9.1774 9.1774 19.4086 Å, 90.00 90.00 120.00°
Space group R-3 (No. 148, hexagonal axes)
Symmetry-distinct sites (fractional):
Pm 0.0000 0.0000 0.1675
Pm 0.0014 0.6703 0.6148
Pr 0.0000 0.0000 0.5000
Hg 0.0002 0.3376 0.5547

The total moment comes out at 0.181 μB/atom. The calculation puts the mass density at 8.8 g cm⁻³. The value obtained for the density of states at the Fermi level is 58.6 states/eV/cell. The value obtained for the energy of formation is -0.248 eV per atom.

***

Below is a geometry-optimized PmPrHg structure, with properties calculated at the PBE level.

Cell: 3.7697 3.7697 13.0146 Å, 90.00 90.00 90.00°
Space group I4mm (No. 107)
Symmetry-distinct sites (fractional):
Pm 0.0000 0.0000 0.0000
Pr 0.0000 0.0000 0.3053
Hg 0.0000 0.0000 0.6471

The total moment comes out at 0.095 μB/atom. The calculation puts the mass density at 8.7 g cm⁻³. The value obtained for the density of states at the Fermi level is 8.2 states/eV/cell. The calculation puts the energy above the most stable polymorph in this dataset at 22 meV per atom. The value obtained for the energy of formation is -0.306 eV per atom.

***

Below is a geometry-optimized Pm5Pr2Hg4 structure, with properties calculated at the PBE level.

Cell: 22.7492 3.5710 8.7939 Å, 90.00 93.99 90.00°
Space group C2/m (No. 12)
Symmetry-distinct sites (fractional):
Pm 0.0000 0.0000 0.0000
Pm 0.1681 0.5000 0.9484
Pm 0.1819 0.5000 0.5181
Pr 0.0462 0.5000 0.6666
Hg 0.0840 0.5000 0.2416
Hg 0.2127 0.0000 0.2286

The total moment comes out at 0.000 μB/atom. The calculation puts the mass density at 8.4 g cm⁻³. The value obtained for the density of states at the Fermi level is 31.8 states/eV/cell. The value obtained for the energy of formation is -0.044 eV per atom.

***

Below is a geometry-optimized PmPr5Hg structure, with properties calculated at the PBE level.

Cell: 8.9507 8.6429 12.6561 Å, 90.00 102.39 90.00°
Space group C2/c (No. 15)
Symmetry-distinct sites (fractional):
Pm 0.0000 0.1402 0.2500
Pr 0.0000 0.4717 0.7500
Pr 0.1482 0.1363 0.5669
Pr 0.2161 0.1725 0.8650
Hg 0.0000 0.5000 0.0000

The total moment comes out at 0.000 μB/atom. The calculation puts the mass density at 7.3 g cm⁻³. The value obtained for the density of states at the Fermi level is 35.1 states/eV/cell. The value obtained for the energy of formation is -0.038 eV per atom.

***

Below is a geometry-optimized PmPr3Hg4 structure, with properties calculated at the PBE level.

Cell: 3.8894 7.7820 16.4939 Å, 90.00 90.00 90.00°
Space group Immm (No. 71)
Symmetry-distinct sites (fractional):
Pm 0.0000 0.0000 0.0000
Pr 0.0000 0.0000 0.5000
Pr 0.0000 0.5000 0.2988
Hg 0.0000 0.2972 0.1301

The total moment comes out at 0.000 μB/atom. The calculation puts the mass density at 9.1 g cm⁻³. The value obtained for the density of states at the Fermi level is 14.9 states/eV/cell. The calculation puts the energy above the most stable polymorph in this dataset at 142 meV per atom. The value obtained for the energy of formation is -0.331 eV per atom.

***

Below is a geometry-optimized Pm5Pr3Hg2 structure, with properties calculated at the PBE level.

Cell: 13.7424 14.6114 6.8530 Å, 90.00 90.00 90.00°
Space group Ibam (No. 72)
Symmetry-distinct sites (fractional):
Pm 0.0000 0.0000 0.2500
Pm 0.0899 0.1761 0.0000
Pm 0.2367 0.0000 0.2500
Pr 0.0000 0.5000 0.2500
Pr 0.1473 0.2724 0.5000
Hg 0.1364 0.3695 0.0000

The total moment comes out at 0.000 μB/atom. The calculation puts the mass density at 7.5 g cm⁻³. The value obtained for the density of states at the Fermi level is 50.1 states/eV/cell. The value obtained for the energy of formation is 0.024 eV per atom.

***

Below is a geometry-optimized Pm2Pr3Hg3 structure, with properties calculated at the PBE level.

Cell: 3.8486 5.5411 22.7103 Å, 90.00 90.00 90.00°
Space group Immm (No. 71)
Symmetry-distinct sites (fractional):
Pm 0.0000 0.0000 0.2334
Pr 0.0000 0.0000 0.0000
Pr 0.0000 0.5000 0.1209
Hg 0.0000 0.0000 0.5000
Hg 0.0000 0.5000 0.3797

The total moment comes out at 0.033 μB/atom. The calculation puts the mass density at 9.0 g cm⁻³. The value obtained for the density of states at the Fermi level is 20.1 states/eV/cell. The value obtained for the energy of formation is -0.353 eV per atom.

***

Below is a geometry-optimized Pm2PrHg structure, with properties calculated at the PBE level.

Cell: 3.5601 3.5601 35.9634 Å, 90.00 90.00 120.00°
Space group R-3m (No. 166, hexagonal axes)
Symmetry-distinct sites (fractional):
Pm 0.0000 0.0000 0.0969
Pr 0.0000 0.0000 0.0000
Hg 0.0000 0.0000 0.5000

The total moment comes out at 0.000 μB/atom. The calculation puts the mass density at 8.0 g cm⁻³. The value obtained for the density of states at the Fermi level is 19.7 states/eV/cell. The calculation puts the energy above the most stable polymorph in this dataset at 274 meV per atom. The value obtained for the energy of formation is 0.040 eV per atom.